Model one:
Entry from the Alexandria database: a relaxed Sm3Er7Tm crystal (PBE).

Values from the calculation:
size of the total moment: 0.02 μB per formula unit
mass density: 8.42 Mg/m³
space group: No. 10

Cell lengths 5.4723, 10.0563, 8.7932 Å; angles 106.57, 128.45, 89.99 degrees
Last column: nearest neighbours and their distance in Å.
Fractional coordinates of all 11 atoms:
Sm  0.2846  0.0057  0.7849  1 Sm 3.01, 4 Er 3.32-3.36
Sm  0.0000  0.5000  0.0000  2 Tm 3.44, 10 Er 3.50-3.79
Sm  0.7154  0.9943  0.2151  1 Sm 3.01, 4 Er 3.32-3.36
Er  0.9025  0.8293  0.9022  3 Er 3.20-3.28, 1 Tm 3.46, 4 Sm 3.50-3.51
Er  0.8612  0.7105  0.3615  3 Er 3.25-3.55, 2 Sm 3.32-3.36
Er  0.6832  0.3633  0.1834  5 Er 3.25-3.55, 2 Tm 3.45-3.46, 2 Sm 3.50
Er  0.3168  0.6367  0.8166  5 Er 3.25-3.55, 2 Tm 3.45-3.46, 2 Sm 3.50
Er  0.5000  0.0000  0.5000  4 Sm 3.36, 2 Er 3.75
Er  0.1388  0.2895  0.6385  3 Er 3.25-3.55, 2 Sm 3.32-3.36
Er  0.0975  0.1707  0.0978  3 Er 3.20-3.28, 1 Tm 3.46, 4 Sm 3.50-3.51
Tm  0.5000  0.5000  0.5000  2 Sm 3.44, 10 Er 3.45-3.79

Model two:
Entry from the Alexandria database: a relaxed Sm3Er7Tm crystal (PBE).

Values from the calculation:
size of the total moment: 0.00 μB per formula unit
mass density: 8.15 Mg/m³
space group: No. 156

Cell lengths 8.5837, 7.0044, 7.0044 Å; angles 120.00, 90.00, 90.00 degrees
Last column: nearest neighbours and their distance in Å.
Fractional coordinates of all 11 atoms:
Sm  0.7830  0.5000  0.5000  4 Sm 3.50, 5 Er 3.53-3.54, 1 Tm 3.54
Sm  0.7830  0.5000  0.0000  4 Sm 3.50, 5 Er 3.53-3.54, 1 Tm 3.54
Sm  0.7830  0.0000  0.5000  4 Sm 3.50, 5 Er 3.53-3.54, 1 Tm 3.54
Er  0.1207  0.1676  0.8324  1 Tm 3.43, 8 Er 3.45-3.52, 2 Sm 3.53
Er  0.1207  0.1676  0.3353  1 Tm 3.43, 8 Er 3.45-3.52, 2 Sm 3.53
Er  0.1211  0.6667  0.3333  9 Er 3.44-3.50, 3 Sm 3.54
Er  0.4459  0.8324  0.1676  7 Er 3.44-3.52, 2 Tm 3.50, 2 Sm 3.53
Er  0.4459  0.3352  0.1676  7 Er 3.44-3.52, 2 Tm 3.50, 2 Sm 3.53
Er  0.4459  0.8324  0.6648  7 Er 3.44-3.52, 2 Tm 3.50, 2 Sm 3.53
Er  0.1207  0.6647  0.8324  1 Tm 3.43, 8 Er 3.45-3.52, 2 Sm 3.53
Tm  0.4451  0.3333  0.6667  9 Er 3.43-3.50, 3 Sm 3.54

model one has the most favorable energy; the next structure is 0.028 eV/atom above.